A relaxed TcSb2P crystal, computed with PBE.

Unit cell a=3.180 b=3.180 c=8.058 alpha=90.00 beta=90.00 gamma=90.00
Space group P4mm (No. 99)
Unique sites:
Tc (0.000, 0.000, 0.000) x1
Sb (0.000, 0.000, 0.374) x1
Sb (0.500, 0.500, 0.759) x1
P (0.500, 0.500, 0.130) x1

Results
Total energy in eV/f.u.: -24.1
Size of the total moment in Bohr magnetons per cell: 0.000
DOS at the Fermi energy in states/eV/cell: 2.35
Energy relative to the elements, uncorrected in eV per atom: -0.02

A relaxed TcSbP crystal, computed with PBE.

Unit cell a=3.2807 b=3.2807 c=5.8384 alpha=90.00 beta=90.00 gamma=120.00
Space group P3m1 (No. 156)
Unique sites:
Tc (0.0000, 0.0000, 0.0000) x1
Sb (0.6667, 0.3333, 0.6486) x1
P (0.3333, 0.6667, 0.2479) x1

Results
Total energy in eV/f.u.: -20.1
Size of the total moment in Bohr magnetons per cell: 0.000
Relative energy among the computed polymorphs in meV per atom: 16.2
DOS at the Fermi energy in states/eV/cell: 2.08
Energy relative to the elements, uncorrected in eV per atom: -0.05

A relaxed Tc2SbP crystal, computed with PBE.

Unit cell a=3.070 b=3.070 c=6.438 alpha=90.00 beta=90.00 gamma=90.00
Space group P4/mmm (No. 123)
Unique sites:
Tc (0.000, 0.000, 0.217) x2
Sb (0.500, 0.500, 0.500) x1
P (0.500, 0.500, 0.000) x1

Results
Total energy in eV/f.u.: -30.4
Size of the total moment in Bohr magnetons per cell: 0.000
Relative energy among the computed polymorphs in meV per atom: 138.5
DOS at the Fermi energy in states/eV/cell: 3.79
Energy relative to the elements, uncorrected in eV per atom: -0.05

A relaxed Tc2SbP2 crystal, computed with PBE.

Unit cell a=7.249 b=7.249 c=2.984 alpha=90.00 beta=90.00 gamma=90.00
Space group P4/mbm (No. 127)
Unique sites:
Tc (0.144, 0.356, 0.000) x4
Sb (0.000, 0.000, 0.000) x2
P (0.132, 0.632, 0.500) x4

Results
Total energy in eV/f.u.: -35.9
Size of the total moment in Bohr magnetons per cell: 0.000
Relative energy among the computed polymorphs in meV per atom: 94.0
DOS at the Fermi energy in states/eV/cell: 6.70
Energy relative to the elements, uncorrected in eV per atom: -0.05

A relaxed Tc2SbP crystal, computed with PBE.

Unit cell a=3.097 b=4.086 c=5.209 alpha=90.00 beta=90.00 gamma=90.00
Space group Pmmm (No. 47)
Unique sites:
Tc (0.000, 0.000, 0.000) x1
Tc (0.500, 0.000, 0.500) x1
Sb (0.000, 0.500, 0.500) x1
P (0.500, 0.500, 0.000) x1

Results
Total energy in eV/f.u.: -28.5
Size of the total moment in Bohr magnetons per cell: 0.000
Relative energy among the computed polymorphs in meV per atom: 636.4
DOS at the Fermi energy in states/eV/cell: 3.35
Energy relative to the elements, uncorrected in eV per atom: 0.45

A relaxed TcSbP crystal, computed with PBE.

Unit cell a=6.142 b=6.142 c=6.142 alpha=90.00 beta=90.00 gamma=90.00
Space group F-43m (No. 216)
Unique sites:
Tc (0.000, 0.000, 0.000) x4
Sb (0.250, 0.250, 0.750) x4
P (0.250, 0.250, 0.250) x4

Results
Total energy in eV/f.u.: -19.2
Size of the total moment in Bohr magnetons per cell: 0.000
Relative energy among the computed polymorphs in meV per atom: 294.0
DOS at the Fermi energy in states/eV/cell: 13.23
Energy relative to the elements, uncorrected in eV per atom: 0.23